The following is a GGA-PBE calculation of a relaxed structure of Cs2CoBiBr6, from Alexandria.

formation energy without anion corrections = -0.970 eV per atom
space-group type = Fm-3m (225)
crystal system = cubic
DOS at the Fermi energy = 0.483 states/eV per atom
calculated total energy = -3.24 eV per atom

a = 7.8554 Å, b = 7.8554 Å, c = 7.8554 Å
α = 60.00°, β = 60.00°, γ = 60.00°
Closest atoms and distances in Å follow each position.
Positions (direct):
Cs (0.2500, 0.2500, 0.2500)  12 Br 3.93
Cs (0.7500, 0.7500, 0.7500)  12 Br 3.93
Co (0.0000, 0.0000, 0.0000)  6 Br 2.64
Bi (0.5000, 0.5000, 0.5000)  6 Br 2.91
Br (0.2378, 0.2378, 0.7622)  1 Co 2.64, 1 Bi 2.91
Br (0.2378, 0.7622, 0.2378)  1 Co 2.64, 1 Bi 2.91
Br (0.2378, 0.7622, 0.7622)  1 Co 2.64, 1 Bi 2.91
Br (0.7622, 0.2378, 0.2378)  1 Co 2.64, 1 Bi 2.91
Br (0.7622, 0.2378, 0.7622)  1 Co 2.64, 1 Bi 2.91
Br (0.7622, 0.7622, 0.2378)  1 Co 2.64, 1 Bi 2.91